Computed, not measured: UAs2Pt after structural relaxation at the GGA-PBE level of DFT.

Lattice parameters (Å, degrees): 3.774 4.412 4.412 90.00 90.00 90.00
Sites, in units of the cell vectors:
1 As 0.000 0.000 0.500
2 As 0.000 0.500 0.000
3 U 0.500 0.500 0.500
4 Pt 0.500 0.000 0.000

Computed properties:
Symmetry   P4/mmm, No. 123
Energy above the most stable polymorph in this dataset   0 kJ/mol of formula units
E_form   -580 meV/atom
DOS(E_F)   4.79 states/eV per cell
Final energy   -7.237 eV/atom